[1]
The following is a DFT calculation (GGA-PBE) of a geometry-optimized PmPrGe2 structure.

Geometry as extended XYZ:
```
8
Lattice="4.0785 0.0000 0.0000 0.0000 5.9962 0.0000 0.0000 0.0000 8.2942" Properties=species:S:1:pos:R:3 pbc="T T T"
Pm 0.0000 0.7950 0.0000
Pm 0.0000 5.2012 4.1471
Pr 2.0392 2.2028 3.0052
Pr 2.0392 3.7935 7.1523
Ge 0.0000 2.3111 5.3352
Ge 0.0000 3.6851 1.1881
Ge 2.0392 0.6642 5.9725
Ge 2.0392 5.3320 1.8254
```

Results
Its density of states at the Fermi level is 0.690 states/eV per atom. As for the space group: Pmc2_1 (26). For the energy of formation, the calculation gives -846 meV/atom.

=====

[2]
The following is a DFT calculation (GGA-PBE) of a geometry-optimized Pm5Pr5Ge6 structure.

Geometry as extended XYZ:
```
16
Lattice="6.7452 0.0000 0.0000 0.0000 7.6737 4.4216 0.0000 -7.6737 4.4216" Properties=species:S:1:pos:R:3 pbc="T T T"
Pm 0.0000 0.0000 0.0000
Pm 0.0000 -1.8850 3.2384
Pm 0.0000 1.8850 3.2384
Pm 3.3726 -5.7931 5.4997
Pm 3.3726 5.7931 5.4997
Pr 1.6847 -2.5578 6.5799
Pr 1.6847 2.5578 6.5799
Pr 3.3726 0.0000 4.3110
Pr 5.0605 -2.5578 6.5799
Pr 5.0605 2.5578 6.5799
Ge 0.0000 -4.6783 4.8519
Ge 0.0000 0.0000 5.6059
Ge 0.0000 4.6783 4.8519
Ge 3.3726 -3.0208 3.8834
Ge 3.3726 3.0208 3.8834
Ge 3.3726 0.0000 7.5624
```

Results
Its density of states at the Fermi level is 0.917 states/eV per atom. As for the space group: Amm2 (38). For the energy of formation, the calculation gives -700 meV/atom.

=====

[3]
The following is a DFT calculation (GGA-PBE) of a geometry-optimized Pm12PrGe4 structure.

Geometry as extended XYZ:
```
17
Lattice="-5.2848 5.2848 5.2848 5.2848 -5.2848 5.2848 5.2848 5.2848 -5.2848" Properties=species:S:1:pos:R:3 pbc="T T T"
Pm 5.2848 -1.8227 3.5051
Pm 3.4621 1.7798 0.0000
Pm 7.1076 1.7798 0.0000
Pm 3.5051 5.2848 -1.8227
Pm 1.7798 0.0000 3.4621
Pm 0.0000 3.4621 1.7798
Pm 5.2848 1.8227 3.5051
Pm 3.5051 5.2848 1.8227
Pm 1.7798 0.0000 7.1076
Pm -1.8227 3.5051 5.2848
Pm 1.8227 3.5051 5.2848
Pm 0.0000 7.1076 1.7798
Pr 0.0000 0.0000 0.0000
Ge 2.6424 2.6424 -2.6424
Ge 2.6424 -2.6424 2.6424
Ge -2.6424 2.6424 2.6424
Ge 2.6424 2.6424 2.6424
```

Results
Its density of states at the Fermi level is 1.727 states/eV per atom. As for the space group: Im-3 (204). For the energy of formation, the calculation gives -101 meV/atom.

=====

[4]
The following is a DFT calculation (GGA-PBE) of a geometry-optimized PmPrGe3 structure.

Geometry as extended XYZ:
```
10
Lattice="2.1686 -13.5727 0.0000 2.1686 13.5727 0.0000 0.0000 0.0000 4.0962" Properties=species:S:1:pos:R:3 pbc="T T T"
Pm 2.1686 8.0586 3.0722
Pm 2.1686 -8.0586 1.0241
Pr 2.1686 11.6274 1.0241
Pr 2.1686 -11.6274 3.0722
Ge 2.1686 5.0062 3.0722
Ge 2.1686 3.3277 1.0241
Ge 2.1686 0.7582 1.0241
Ge 2.1686 -0.7582 3.0722
Ge 2.1686 -3.3277 3.0722
Ge 2.1686 -5.0062 1.0241
```

Results
Its density of states at the Fermi level is 0.527 states/eV per atom. As for the space group: Cmcm (63). For the energy of formation, the calculation gives -704 meV/atom.

=====

[5]
The following is a DFT calculation (GGA-PBE) of a geometry-optimized Pm4Pr3Ge4 structure.

Geometry as extended XYZ:
```
11
Lattice="-2.0214 4.3972 8.6847 2.0214 -4.3972 8.6847 2.0214 4.3972 -8.6847" Properties=species:S:1:pos:R:3 pbc="T T T"
Pm 2.0214 -2.8286 5.7071
Pm 0.0000 1.5687 2.9776
Pm 2.0214 2.8286 5.7071
Pm 0.0000 7.2258 2.9776
Pr 2.0214 0.0000 0.0000
Pr 0.0000 0.0000 7.0151
Pr 0.0000 0.0000 10.3542
Ge 2.0214 0.0000 4.7026
Ge 0.0000 2.4135 0.0000
Ge 0.0000 6.3810 0.0000
Ge 0.0000 4.3972 3.9821
```

Results
Its density of states at the Fermi level is 1.036 states/eV per atom. As for the space group: Immm (71). For the energy of formation, the calculation gives -617 meV/atom.

=====

[6]
The following is a DFT calculation (GGA-PBE) of a geometry-optimized Pm3Pr4Ge4 structure.

Geometry as extended XYZ:
```
11
Lattice="-1.9593 4.4536 8.8426 1.9593 -4.4536 8.8426 1.9593 4.4536 -8.8426" Properties=species:S:1:pos:R:3 pbc="T T T"
Pm 0.0000 0.0000 0.0000
Pm 1.9593 0.0000 7.1794
Pm 0.0000 4.4536 1.6631
Pr 1.9593 1.5532 -3.0206
Pr 1.9593 1.5532 3.0206
Pr 0.0000 2.9004 5.8219
Pr 0.0000 2.9004 11.8632
Ge 1.9593 2.4512 0.0000
Ge 0.0000 0.0000 4.8961
Ge 0.0000 0.0000 12.7890
Ge 0.0000 2.0024 8.8426
```

Results
Its density of states at the Fermi level is 0.800 states/eV per atom. As for the space group: Immm (71). For the energy of formation, the calculation gives -612 meV/atom.